VASP calculation (PBE) on crystalline NaBeCu2B at its relaxed geometry.

POSCAR file:
```
NaBeCu2B
1.0
4.1110 0.0000 0.0000
0.0000 3.7516 0.0000
0.0000 0.0000 4.1110
B Cu Be Na
1 2 1 1
Direct
0.0000 0.0000 0.0000
0.5000 0.0000 0.0000
0.0000 0.0000 0.5000
0.0000 0.5000 0.0000
0.5000 0.5000 0.5000
```

## Properties
Volume, Å³/atom: 12.68
DFT formation energy, eV per atom: 0.20


VASP calculation (PBE) on crystalline BeCu2Ni5B2 at its relaxed geometry.

POSCAR file:
```
BeCu2Ni5B2
1.0
-1.2716 1.7421 1.7364
-5.0685 -6.1609 2.4694
5.4172 -2.0445 6.0181
Cu B Ni Be
4 4 10 2
Direct
0.0000 0.8219 0.6781
0.0000 0.1781 0.3219
0.0000 0.6781 0.1781
0.0000 0.3219 0.8219
0.0000 0.1297 0.6297
0.0000 0.6297 0.8703
0.0000 0.8703 0.3703
0.0000 0.3703 0.1297
0.5000 0.7075 0.4342
0.5000 0.2075 0.0658
0.5000 0.7925 0.9342
0.5000 0.0658 0.7925
0.5000 0.9342 0.2075
0.5000 0.5000 0.0000
0.5000 0.2925 0.5658
0.5000 0.4342 0.2925
0.5000 0.0000 0.5000
0.5000 0.5658 0.7075
0.0000 0.0000 0.0000
0.0000 0.5000 0.5000
```

## Properties
Volume, Å³/atom: 9.66
DFT formation energy, eV per atom: -0.21


VASP calculation (PBE) on crystalline BeCuB2Rh at its relaxed geometry.

POSCAR file:
```
BeCuB2Rh
1.0
3.5863 0.0000 0.0000
0.0000 3.5863 0.0000
0.0000 0.0000 3.9706
B Cu Be Rh
2 1 1 1
Direct
0.5000 0.0000 0.0000
0.0000 0.5000 0.0000
0.0000 0.0000 0.5000
0.0000 0.0000 0.0000
0.5000 0.5000 0.5000
```

## Properties
Volume, Å³/atom: 10.21
DFT formation energy, eV per atom: 1.00


VASP calculation (PBE) on crystalline BeCuBS2 at its relaxed geometry.

POSCAR file:
```
BeCuBS2
1.0
-3.9337 1.7054 -0.2651
-1.0955 -1.9926 3.4380
1.2942 3.3515 2.3548
S B Be Cu
2 1 1 1
Direct
0.5000 0.0000 0.0000
0.0000 0.0000 0.5000
0.5000 0.5000 0.5000
0.0000 0.0000 0.0000
0.0000 0.5000 0.0000
```

## Properties
Volume, Å³/atom: 15.21
Raw formation energy, eV per atom: 1.1740


VASP calculation (PBE) on crystalline TaBeCuB2 at its relaxed geometry.

POSCAR file:
```
TaBeCuB2
1.0
-1.1001 -3.4049 -0.6059
3.6327 -0.8028 -2.0846
1.5503 -1.0539 3.1075
B Be Ta Cu
2 1 1 1
Direct
0.0000 0.0000 0.5000
0.5000 0.0000 0.0000
0.0000 0.0000 0.0000
0.0000 0.5000 0.0000
0.5000 0.5000 0.5000
```

## Properties
Volume, Å³/atom: 11.23
DFT formation energy, eV per atom: 1.03


VASP calculation (PBE) on crystalline BeTlCuB2 at its relaxed geometry.

POSCAR file:
```
BeTlCuB2
1.0
3.8474 0.0000 0.0000
0.0000 4.8432 0.0000
0.0000 0.0000 3.8474
B Cu Tl Be
2 1 1 1
Direct
0.5000 0.0000 0.0000
0.0000 0.0000 0.5000
0.0000 0.0000 0.0000
0.5000 0.5000 0.5000
0.0000 0.5000 0.0000
```

## Properties
Volume, Å³/atom: 14.34
DFT formation energy, eV per atom: 1.21


no.,calculated density (Mg/m³),E (eV/atom)
1,4.45,-3.7793
2,7.76,-5.6241
3,6.41,-4.7048
4,3.22,-3.3769
5,8.13,-5.5750
6,6.92,-3.4985